{
  "formula": "CrRe2Au",
  "functional": "PBE-GGA",
  "state": "optimized geometry",
  "cell": [[2.804, 0.000, 0.000], [0.000, 3.866, 0.000], [0.000, 0.000, 5.584]],
  "species": ["Cr", "Re", "Re", "Au"],
  "fractional_positions": [[0.000, 0.000, 0.000], [0.000, 0.000, 0.430], [0.500, 0.500, 0.213], [0.500, 0.500, 0.723]],
  "formation_enthalpy_0k_ev_per_atom": 0.266,
  "polymorph_energy_mev_per_atom": 0,
  "space_group": "No. 25"
}